No. 1
# CaAlAg3, relaxed, DFT GGA-PBE
data_CaAlAg3
_cell_length_a 5.5338
_cell_length_b 6.6984
_cell_length_c 6.6977
_cell_angle_alpha 120.00
_cell_angle_beta 90.00
_cell_angle_gamma 90.00
_symmetry_space_group_name_H-M 'P 1'
_symmetry_Int_Tables_number 1
_symmetry_space_group_name_Hall 'P 1'
loop_
_atom_site_label
_atom_site_type_symbol
_atom_site_fract_x
_atom_site_fract_y
_atom_site_fract_z
Ca1 Ca 0.7500 0.6667 0.3334
Ca2 Ca 0.2500 0.3333 0.6666
Al1 Al 0.0000 0.0000 0.0000
Al2 Al 0.5000 0.0000 0.0000
Ag1 Ag 0.7500 0.6132 0.8067
Ag2 Ag 0.2500 0.8066 0.6132
Ag3 Ag 0.2500 0.3868 0.1933
Ag4 Ag 0.7500 0.1934 0.3868
Ag5 Ag 0.2500 0.8065 0.1933
Ag6 Ag 0.7500 0.1935 0.8067
# ΔE to the lowest computed polymorph (kcal/mol of atoms): 0.00
# Magnetization (μB/f.u.): 0.0
# Energy of formation (kJ per mole of atoms): -17.5
# Fermi-level density of states (states/eV per cell): 3.70

No. 2
# Nd2GaS, relaxed, DFT GGA-PBE
data_Nd2GaS
_cell_length_a 4.0984
_cell_length_b 4.2758
_cell_length_c 11.7424
_cell_angle_alpha 100.49
_cell_angle_beta 90.00
_cell_angle_gamma 90.00
_symmetry_space_group_name_H-M 'P 1'
_symmetry_Int_Tables_number 1
_symmetry_space_group_name_Hall 'P 1'
loop_
_atom_site_label
_atom_site_type_symbol
_atom_site_fract_x
_atom_site_fract_y
_atom_site_fract_z
Nd1 Nd 0.7500 0.6857 0.3715
Nd2 Nd 0.2500 0.3143 0.6285
Nd3 Nd 0.7500 0.9304 0.8607
Nd4 Nd 0.2500 0.0696 0.1393
Ga1 Ga 0.2500 0.4628 0.9256
Ga2 Ga 0.7500 0.5372 0.0744
S1 S 0.2500 0.1919 0.3838
S2 S 0.7500 0.8081 0.6162
# E_form (uncorrected) (eV per atom): -1.323
# ΔE to the lowest computed polymorph (kcal/mol of atoms): 0.00
# Magnetization (μB/f.u.): 0.0
# Fermi-level density of states (states/eV per cell): 3.95

Number 1: total DFT energy (no corrections) -15.20 eV/f.u.. Number 2: total DFT energy (no corrections) -21.98 eV/f.u..